one | Mn2Cu2Rh: relaxed, PBE-GGA.

a b c (Å): 6.669 6.669 2.821
angles (deg): 90.00 90.00 90.00
Atoms (fractional coordinates):
1 Mn 0.398 0.898 0.000
2 Mn 0.898 0.602 0.000
3 Mn 0.602 0.102 0.000
4 Mn 0.102 0.398 0.000
5 Rh 0.000 0.000 0.000
6 Rh 0.500 0.500 0.000
7 Cu 0.191 0.691 0.500
8 Cu 0.691 0.809 0.500
9 Cu 0.809 0.309 0.500
10 Cu 0.309 0.191 0.500

Calculated values
Crystal system: tetragonal
Size of the total moment in μB per atom: 0.000
Symmetry: No. 127

***

two | Mn2Cu2Rh: relaxed, PBE-GGA.

a b c (Å): 3.165 3.165 6.818
angles (deg): 76.58 76.58 90.00
Atoms (fractional coordinates):
1 Mn 0.750 0.250 0.500
2 Mn 0.250 0.750 0.500
3 Rh 0.000 0.000 0.000
4 Cu 0.399 0.399 0.201
5 Cu 0.601 0.601 0.799

Calculated values
Crystal system: tetragonal
Size of the total moment in μB per atom: 0.000
Symmetry: No. 139

***

Stability check: which of them is least stable? two.

***

one | Mn2Cu2Rh: relaxed, PBE-GGA.

a b c (Å): 3.267 3.267 7.386
angles (deg): 77.22 77.22 90.00
Atoms (fractional coordinates):
1 Mn 0.399 0.399 0.202
2 Mn 0.601 0.601 0.798
3 Rh 0.000 0.000 0.000
4 Cu 0.750 0.250 0.500
5 Cu 0.250 0.750 0.500

Calculated values
Crystal system: tetragonal
Size of the total moment in μB per atom: 1.844
Symmetry: No. 139

***

two | Mn2Cu2Rh: relaxed, PBE-GGA.

a b c (Å): 6.755 6.755 2.679
angles (deg): 90.00 90.00 90.00
Atoms (fractional coordinates):
1 Mn 0.170 0.670 0.500
2 Mn 0.670 0.830 0.500
3 Mn 0.830 0.330 0.500
4 Mn 0.330 0.170 0.500
5 Rh 0.000 0.000 0.000
6 Rh 0.500 0.500 0.000
7 Cu 0.372 0.872 0.000
8 Cu 0.872 0.628 0.000
9 Cu 0.628 0.128 0.000
10 Cu 0.128 0.372 0.000

Calculated values
Crystal system: tetragonal
Size of the total moment in μB per atom: 0.001
Symmetry: No. 127

***

Stability check: which of them is least stable? two.

***

one | MnCuRu: relaxed, PBE-GGA.

a b c (Å): 2.700 3.813 12.427
angles (deg): 117.36 115.72 45.07
Atoms (fractional coordinates):
1 Cu 0.113 0.498 0.139
2 Cu 0.267 0.153 0.294
3 Mn 0.431 0.818 0.458
4 Mn 0.949 0.833 0.975
5 Ru 0.603 0.490 0.631
6 Ru 0.776 0.161 0.802

Calculated values
Crystal system: monoclinic
Size of the total moment in μB per atom: 1.067
Symmetry: No. 12

***

two | MnCuRu: relaxed, PBE-GGA.

a b c (Å): 3.948 3.948 3.948
angles (deg): 60.00 60.00 60.00
Atoms (fractional coordinates):
1 Cu 0.500 0.500 0.500
2 Mn 0.750 0.750 0.750
3 Ru 0.000 0.000 0.000

Calculated values
Crystal system: cubic
Size of the total moment in μB per atom: 0.564
Symmetry: No. 216

***

three | MnCuRu: relaxed, PBE-GGA.

a b c (Å): 4.527 4.527 4.527
angles (deg): 144.64 134.02 59.31
Atoms (fractional coordinates):
1 Cu 0.999 0.999 0.000
2 Mn 0.331 0.331 0.000
3 Ru 0.671 0.671 0.000

Calculated values
Crystal system: orthorhombic
Size of the total moment in μB per atom: 0.593
Symmetry: No. 44

***

four | MnCuRu: relaxed, PBE-GGA.

a b c (Å): 5.716 5.716 2.665
angles (deg): 76.52 76.52 26.96
Atoms (fractional coordinates):
1 Cu 0.996 0.996 0.004
2 Mn 0.330 0.330 0.670
3 Ru 0.674 0.674 0.326

Calculated values
Crystal system: tetragonal
Size of the total moment in μB per atom: 0.560
Symmetry: No. 107

***

Stability check: which of them is least stable? two.